# LiCa4Pr

A relaxed structure of LiCa4Pr (PBE-GGA, Alexandria via LeMat-Bulk).

Results
Total magnetic moment (μB/cell): 0.0
Energy relative to the elements (eV per atom): 0.04

```
LiCa4Pr
1.0
4.028 0.000 0.000
0.000 4.028 0.000
0.000 0.000 13.706
Li Ca Pr
1 4 1
direct
0.000 0.000 0.000
0.000 0.000 0.327
0.000 0.000 0.673
0.500 0.500 0.141
0.500 0.500 0.859
0.500 0.500 0.500
```

# Li5Ca4Pr

A relaxed structure of Li5Ca4Pr (PBE-GGA, Alexandria via LeMat-Bulk).

Results
Total magnetic moment (μB/cell): 0.3
Energy relative to the elements (eV per atom): 0.04

```
Li5Ca4Pr
1.0
3.933 0.000 0.000
0.000 3.933 0.000
0.000 0.000 19.767
Li Ca Pr
5 4 1
direct
0.000 0.000 0.000
0.000 0.000 0.200
0.000 0.000 0.402
0.000 0.000 0.598
0.000 0.000 0.800
0.500 0.500 0.100
0.500 0.500 0.304
0.500 0.500 0.696
0.500 0.500 0.900
0.500 0.500 0.500
```

# Li4Ca5Pr

A relaxed structure of Li4Ca5Pr (PBE-GGA, Alexandria via LeMat-Bulk).

Results
Total magnetic moment (μB/cell): 0.0
Energy relative to the elements (eV per atom): 0.04

```
Li4Ca5Pr
1.0
3.943 0.000 0.000
0.000 3.943 0.000
0.000 0.000 20.955
Li Ca Pr
4 5 1
direct
0.000 0.000 0.094
0.000 0.000 0.286
0.000 0.000 0.714
0.000 0.000 0.906
0.500 0.500 0.000
0.500 0.500 0.189
0.500 0.500 0.379
0.500 0.500 0.621
0.500 0.500 0.811
0.000 0.000 0.500
```

# Li8Ca3Pr

A relaxed structure of Li8Ca3Pr (PBE-GGA, Alexandria via LeMat-Bulk).

Results
Total magnetic moment (μB/cell): 0.0
Energy relative to the elements (eV per atom): 0.02

```
Li8Ca3Pr
1.0
6.152 0.000 0.000
-3.076 5.328 0.000
0.000 0.000 9.839
Li Ca Pr
8 3 1
direct
0.000 0.000 0.000
0.000 0.000 0.496
0.168 0.336 0.248
0.168 0.832 0.248
0.334 0.167 0.752
0.664 0.832 0.248
0.833 0.167 0.752
0.833 0.666 0.752
0.333 0.667 0.562
0.333 0.667 0.939
0.667 0.333 0.435
0.667 0.333 0.061
```